Arrangement i

# YHgNO (GGA-PBE, optimized geometry)
data_YHgNO
_chemical_formula_sum 'Y2 Hg2 N2 O2'
_cell_length_a 4.002
_cell_length_b 6.097
_cell_length_c 5.698
_cell_angle_alpha 90.00
_cell_angle_beta 90.00
_cell_angle_gamma 90.00
_space_group_name_H-M_alt 'P m c 21'
_space_group_IT_number 26
_space_group_name_Hall 'P 2c -2'
loop_
_atom_site_label
_atom_site_fract_x
_atom_site_fract_y
_atom_site_fract_z
Y1 0.000 0.201 0.000
Hg1 0.500 0.272 0.479
N1 0.000 0.159 0.402
O1 0.500 0.325 0.921
# Mass density, Mg/m³: 7.63



Arrangement ii

# YHgNO (GGA-PBE, optimized geometry)
data_YHgNO
_chemical_formula_sum 'Y2 Hg2 N2 O2'
_cell_length_a 3.917
_cell_length_b 6.789
_cell_length_c 6.556
_cell_angle_alpha 90.00
_cell_angle_beta 90.00
_cell_angle_gamma 90.00
_space_group_name_H-M_alt 'P m c 21'
_space_group_IT_number 26
_space_group_name_Hall 'P 2c -2'
loop_
_atom_site_label
_atom_site_fract_x
_atom_site_fract_y
_atom_site_fract_z
Y1 0.000 0.142 0.000
Hg1 0.500 0.491 0.687
N1 0.500 0.316 0.941
O1 0.000 0.109 0.316
# Mass density, Mg/m³: 6.09



Arrangement iii

# YHgNO (GGA-PBE, optimized geometry)
data_YHgNO
_chemical_formula_sum 'Y4 Hg4 N4 O4'
_cell_length_a 6.502
_cell_length_b 7.540
_cell_length_c 6.263
_cell_angle_alpha 90.00
_cell_angle_beta 90.00
_cell_angle_gamma 90.00
_space_group_name_H-M_alt 'P c a 21'
_space_group_IT_number 29
_space_group_name_Hall 'P 2c -2ac'
loop_
_atom_site_label
_atom_site_fract_x
_atom_site_fract_y
_atom_site_fract_z
Y1 0.084 0.121 0.000
Hg1 0.223 0.605 0.850
N1 0.037 0.614 0.578
O1 0.125 0.066 0.658
# Mass density, Mg/m³: 6.91



Stability ranking, top and bottom: arrangement ii is the most stable and arrangement i is the least stable.



Arrangement i

# ZnHgNO (GGA-PBE, optimized geometry)
data_ZnHgNO
_chemical_formula_sum 'Zn2 Hg2 N2 O2'
_cell_length_a 4.373
_cell_length_b 4.373
_cell_length_c 5.499
_cell_angle_alpha 90.00
_cell_angle_beta 90.00
_cell_angle_gamma 90.00
_space_group_name_H-M_alt 'P 4/n m m'
_space_group_IT_number 129
loop_
_space_group_symop_operation_xyz
'x,y,z'
'-x,-y,-z'
'-y+1/2,x,z'
'y+1/2,-x,-z'
'-x+1/2,-y+1/2,z'
'x+1/2,y+1/2,-z'
'y,-x+1/2,z'
'-y,x+1/2,-z'
'x+1/2,-y,-z'
'-x+1/2,y,z'
'-y,-x,-z'
'y,x,z'
'-x,y+1/2,-z'
'x,-y+1/2,z'
'y+1/2,x+1/2,-z'
'-y+1/2,-x+1/2,z'
loop_
_atom_site_label
_atom_site_fract_x
_atom_site_fract_y
_atom_site_fract_z
Zn1 0.250 0.250 0.050
Hg1 0.250 0.750 0.500
N1 0.250 0.250 0.432
O1 0.250 0.750 0.000
# Mass density, Mg/m³: 9.35



Arrangement ii

# ZnHgNO (GGA-PBE, optimized geometry)
data_ZnHgNO
_chemical_formula_sum 'Zn2 Hg2 N2 O2'
_cell_length_a 3.392
_cell_length_b 6.006
_cell_length_c 5.716
_cell_angle_alpha 90.00
_cell_angle_beta 90.00
_cell_angle_gamma 90.00
_space_group_name_H-M_alt 'P m c 21'
_space_group_IT_number 26
_space_group_name_Hall 'P 2c -2'
loop_
_atom_site_label
_atom_site_fract_x
_atom_site_fract_y
_atom_site_fract_z
Zn1 0.000 0.156 0.000
Hg1 0.500 0.349 0.526
N1 0.500 0.303 0.903
O1 0.000 0.138 0.345
# Mass density, Mg/m³: 8.44



Stability ranking, top and bottom: arrangement ii is the most stable and arrangement i is the least stable.



Arrangement i

# ZnHgNO (GGA-PBE, optimized geometry)
data_ZnHgNO
_chemical_formula_sum 'Zn2 Hg2 N2 O2'
_cell_length_a 3.329
_cell_length_b 6.156
_cell_length_c 5.703
_cell_angle_alpha 90.00
_cell_angle_beta 90.00
_cell_angle_gamma 90.00
_space_group_name_H-M_alt 'P m c 21'
_space_group_IT_number 26
_space_group_name_Hall 'P 2c -2'
loop_
_atom_site_label
_atom_site_fract_x
_atom_site_fract_y
_atom_site_fract_z
Zn1 0.000 0.157 0.000
Hg1 0.500 0.325 0.484
N1 0.000 0.132 0.348
O1 0.500 0.313 0.904
# Mass density, Mg/m³: 8.41



Arrangement ii

# ZnHgNO (GGA-PBE, optimized geometry)
data_ZnHgNO
_chemical_formula_sum 'Zn2 Hg2 N2 O2'
_cell_length_a 4.085
_cell_length_b 4.085
_cell_length_c 7.148
_cell_angle_alpha 90.00
_cell_angle_beta 90.00
_cell_angle_gamma 90.00
_space_group_name_H-M_alt 'P 4/n m m'
_space_group_IT_number 129
loop_
_space_group_symop_operation_xyz
'x,y,z'
'-x,-y,-z'
'-y+1/2,x,z'
'y+1/2,-x,-z'
'-x+1/2,-y+1/2,z'
'x+1/2,y+1/2,-z'
'y,-x+1/2,z'
'-y,x+1/2,-z'
'x+1/2,-y,-z'
'-x+1/2,y,z'
'-y,-x,-z'
'y,x,z'
'-x,y+1/2,-z'
'x,-y+1/2,z'
'y+1/2,x+1/2,-z'
'-y+1/2,-x+1/2,z'
loop_
_atom_site_label
_atom_site_fract_x
_atom_site_fract_y
_atom_site_fract_z
Zn1 0.250 0.750 0.000
Hg1 0.250 0.250 0.356
N1 0.250 0.250 0.033
O1 0.250 0.750 0.500
# Mass density, Mg/m³: 8.24



Stability ranking, top and bottom: arrangement i is the most stable and arrangement ii is the least stable.



Arrangement i

# ZrHgNO (GGA-PBE, optimized geometry)
data_ZrHgNO
_chemical_formula_sum 'Zr2 Hg2 N2 O2'
_cell_length_a 3.594
_cell_length_b 3.594
_cell_length_c 8.616
_cell_angle_alpha 90.00
_cell_angle_beta 90.00
_cell_angle_gamma 90.00
_space_group_name_H-M_alt 'P 4/n m m'
_space_group_IT_number 129
loop_
_space_group_symop_operation_xyz
'x,y,z'
'-x,-y,-z'
'-y+1/2,x,z'
'y+1/2,-x,-z'
'-x+1/2,-y+1/2,z'
'x+1/2,y+1/2,-z'
'y,-x+1/2,z'
'-y,x+1/2,-z'
'x+1/2,-y,-z'
'-x+1/2,y,z'
'-y,-x,-z'
'y,x,z'
'-x,y+1/2,-z'
'x,-y+1/2,z'
'y+1/2,x+1/2,-z'
'-y+1/2,-x+1/2,z'
loop_
_atom_site_label
_atom_site_fract_x
_atom_site_fract_y
_atom_site_fract_z
Zr1 0.250 0.250 0.146
Hg1 0.250 0.750 0.500
N1 0.250 0.250 0.765
O1 0.250 0.750 0.000
# Mass density, Mg/m³: 9.60



Arrangement ii

# ZrHgNO (GGA-PBE, optimized geometry)
data_ZrHgNO
_chemical_formula_sum 'Zr2 Hg2 N2 O2'
_cell_length_a 3.664
_cell_length_b 6.584
_cell_length_c 5.963
_cell_angle_alpha 90.00
_cell_angle_beta 90.00
_cell_angle_gamma 90.00
_space_group_name_H-M_alt 'P m c 21'
_space_group_IT_number 26
_space_group_name_Hall 'P 2c -2'
loop_
_atom_site_label
_atom_site_fract_x
_atom_site_fract_y
_atom_site_fract_z
Zr1 0.000 0.162 0.000
Hg1 0.500 0.324 0.476
N1 0.000 0.110 0.339
O1 0.500 0.283 0.926
# Mass density, Mg/m³: 7.43



Stability ranking, top and bottom: arrangement ii is the most stable and arrangement i is the least stable.



Arrangement i

# ZrHgNO (GGA-PBE, optimized geometry)
data_ZrHgNO
_chemical_formula_sum 'Zr2 Hg2 N2 O2'
_cell_length_a 3.450
_cell_length_b 7.097
_cell_length_c 6.174
_cell_angle_alpha 90.00
_cell_angle_beta 90.00
_cell_angle_gamma 90.00
_space_group_name_H-M_alt 'P m c 21'
_space_group_IT_number 26
_space_group_name_Hall 'P 2c -2'
loop_
_atom_site_label
_atom_site_fract_x
_atom_site_fract_y
_atom_site_fract_z
Zr1 0.000 0.163 0.000
Hg1 0.500 0.362 0.447
N1 0.500 0.320 0.043
O1 0.000 0.053 0.704
# Mass density, Mg/m³: 7.07



Arrangement ii

# ZrHgNO (GGA-PBE, optimized geometry)
data_ZrHgNO
_chemical_formula_sum 'Zr2 Hg2 N2 O2'
_cell_length_a 4.722
_cell_length_b 4.722
_cell_length_c 4.798
_cell_angle_alpha 90.00
_cell_angle_beta 90.00
_cell_angle_gamma 90.00
_space_group_name_H-M_alt 'P 4/n m m'
_space_group_IT_number 129
loop_
_space_group_symop_operation_xyz
'x,y,z'
'-x,-y,-z'
'-y+1/2,x,z'
'y+1/2,-x,-z'
'-x+1/2,-y+1/2,z'
'x+1/2,y+1/2,-z'
'y,-x+1/2,z'
'-y,x+1/2,-z'
'x+1/2,-y,-z'
'-x+1/2,y,z'
'-y,-x,-z'
'y,x,z'
'-x,y+1/2,-z'
'x,-y+1/2,z'
'y+1/2,x+1/2,-z'
'-y+1/2,-x+1/2,z'
loop_
_atom_site_label
_atom_site_fract_x
_atom_site_fract_y
_atom_site_fract_z
Zr1 0.250 0.750 0.000
Hg1 0.250 0.250 0.432
N1 0.250 0.250 0.940
O1 0.250 0.750 0.500
# Mass density, Mg/m³: 9.99



Stability ranking, top and bottom: arrangement i is the most stable and arrangement ii is the least stable.



Arrangement i

# NaNbNiHg (GGA-PBE, optimized geometry)
data_NaNbNiHg
_chemical_formula_sum 'Na4 Nb4 Ni4 Hg4'
_cell_length_a 6.390
_cell_length_b 6.390
_cell_length_c 6.390
_cell_angle_alpha 90.00
_cell_angle_beta 90.00
_cell_angle_gamma 90.00
_space_group_name_H-M_alt 'F -4 3 m'
_space_group_IT_number 216
_space_group_name_Hall 'F -4 2 3'
loop_
_atom_site_label
_atom_site_fract_x
_atom_site_fract_y
_atom_site_fract_z
Na1 0.000 0.000 0.000
Nb1 0.250 0.250 0.750
Ni1 0.000 0.000 0.500
Hg1 0.250 0.250 0.250
# Mass density, Mg/m³: 9.55



Arrangement ii

# NaNbNiHg (GGA-PBE, optimized geometry)
data_NaNbNiHg
_chemical_formula_sum 'Na4 Nb4 Ni4 Hg4'
_cell_length_a 6.566
_cell_length_b 6.566
_cell_length_c 6.566
_cell_angle_alpha 90.00
_cell_angle_beta 90.00
_cell_angle_gamma 90.00
_space_group_name_H-M_alt 'F -4 3 m'
_space_group_IT_number 216
_space_group_name_Hall 'F -4 2 3'
loop_
_atom_site_label
_atom_site_fract_x
_atom_site_fract_y
_atom_site_fract_z
Na1 0.000 0.000 0.000
Nb1 0.000 0.000 0.500
Ni1 0.250 0.250 0.250
Hg1 0.250 0.250 0.750
# Mass density, Mg/m³: 8.80



Stability ranking, top and bottom: arrangement i is the most stable and arrangement ii is the least stable.